1.
ZrTlCuOs: relaxed, PBE.

Output
Distance to the lowest polymorph of the same formula   162.9 meV/atom

a = 4.6595 Å, b = 4.6595 Å, c = 4.6595 Å
α = 60.00°, β = 60.00°, γ = 60.00°
Fractional positions:
Cu 0.7500 0.7500 0.7500
Os 0.5000 0.5000 0.5000
Tl 0.0000 0.0000 0.0000
Zr 0.2500 0.2500 0.2500

***

2.
Si3Mo4W2N3: relaxed, PBE.

a = 5.1402 Å, b = 5.1402 Å, c = 13.1351 Å
α = 101.46°, β = 101.46°, γ = 62.10°
Fractional positions:
Mo 0.8198 0.9510 0.4090
Mo 0.7083 0.8727 0.0921
Mo 0.2917 0.1273 0.9079
Mo 0.9510 0.8198 0.9090
Mo 0.1273 0.2917 0.4079
Mo 0.0490 0.1802 0.0910
Mo 0.8727 0.7083 0.5921
Mo 0.1802 0.0490 0.5910
Si 0.5759 0.8035 0.7489
Si 0.4241 0.1965 0.2511
Si 0.1965 0.4241 0.7511
Si 0.0426 0.9574 0.2500
Si 0.9574 0.0426 0.7500
Si 0.8035 0.5759 0.2489
W 0.5384 0.3628 0.6214
W 0.4616 0.6372 0.3786
W 0.3628 0.5384 0.1214
W 0.6372 0.4616 0.8786
N 0.6413 0.2183 0.0020
N 0.2183 0.6413 0.5020
N 0.5000 0.0000 0.5000
N 0.0000 0.5000 0.0000
N 0.7817 0.3587 0.4980
N 0.3587 0.7817 0.9980

***

3.
AcPuU: relaxed, PBE.

Output
Distance to the lowest polymorph of the same formula   0.0 meV/atom
ΔE_f   1.106 eV/atom

a = 5.2118 Å, b = 5.2118 Å, c = 5.2118 Å
α = 60.00°, β = 60.00°, γ = 60.00°
Fractional positions:
U 0.0000 0.0000 0.0000
Ac 0.2500 0.2500 0.2500
Pu 0.7500 0.7500 0.7500

***

4.
CsCo3: relaxed, PBE.

Output
Distance to the lowest polymorph of the same formula   0.0 meV/atom

a = 7.0980 Å, b = 7.0980 Å, c = 3.9962 Å
α = 90.00°, β = 90.00°, γ = 120.00°
Fractional positions:
Co 0.2160 0.1080 0.2500
Co 0.8920 0.1080 0.2500
Co 0.7840 0.8920 0.7500
Co 0.1080 0.2160 0.7500
Co 0.1080 0.8920 0.7500
Co 0.8920 0.7840 0.2500
Cs 0.3333 0.6667 0.2500
Cs 0.6667 0.3333 0.7500

***

5.
LiFeHgB: relaxed, PBE.

Output
Distance to the lowest polymorph of the same formula   0.0 meV/atom

a = 4.0771 Å, b = 4.0771 Å, c = 4.0771 Å
α = 60.00°, β = 60.00°, γ = 60.00°
Fractional positions:
B 0.0000 0.0000 0.0000
Li 0.5000 0.5000 0.5000
Fe 0.7500 0.7500 0.7500
Hg 0.2500 0.2500 0.2500

***

6.
Sc2Cd3Mo4N3: relaxed, PBE.

a = 5.5745 Å, b = 5.5745 Å, c = 13.9929 Å
α = 100.99°, β = 100.99°, γ = 60.35°
Fractional positions:
N 0.5000 0.0000 0.5000
N 0.1946 0.6533 0.5002
N 0.3467 0.8054 0.9998
N 0.6533 0.1946 0.0002
N 0.0000 0.5000 0.0000
N 0.8054 0.3467 0.4998
Mo 0.8225 0.9615 0.4310
Mo 0.9615 0.8225 0.9310
Mo 0.8656 0.6938 0.5686
Mo 0.6938 0.8656 0.0686
Mo 0.3062 0.1344 0.9314
Mo 0.1344 0.3062 0.4314
Mo 0.1775 0.0385 0.5690
Mo 0.0385 0.1775 0.0690
Sc 0.5304 0.3652 0.5957
Sc 0.4696 0.6348 0.4043
Sc 0.6348 0.4696 0.9043
Sc 0.3652 0.5304 0.0957
Cd 0.8337 0.5790 0.2485
Cd 0.5790 0.8337 0.7485
Cd 0.4210 0.1663 0.2515
Cd 0.1663 0.4210 0.7515
Cd 0.9941 0.0059 0.7500
Cd 0.0059 0.9941 0.2500

***

The calculation returns the following electronic total energy values, one per record and in order: -6.106; -9.295; -8.737; -4.680; -3.679; -7.420 eV/atom.